[1]
Density functional theory data (PBE-GGA) for crystalline Th8C6N at its relaxed geometry.

## Properties
**Space group**: P-3
**Crystal system**: trigonal

```
Th8C6N
1.0
3.8446 0.0000 0.0000
0.0000 8.2237 -4.7480
0.0000 0.0000 9.4960
Th C N
8 6 1
Direct
0.7427 0.6966 0.6639
0.2573 0.0327 0.6966
0.2573 0.6639 0.9673
0.7427 0.3361 0.0327
0.7427 0.9673 0.3034
0.2573 0.3034 0.3361
0.7519 0.3333 0.6667
0.2481 0.6667 0.3333
0.2474 0.1320 0.4758
0.7526 0.4758 0.3438
0.7526 0.8680 0.5242
0.7526 0.6562 0.1320
0.2474 0.5242 0.6562
0.2474 0.3438 0.8680
0.5000 0.0000 0.0000
```

---

[2]
Density functional theory data (PBE-GGA) for crystalline Th2CN4 at its relaxed geometry.

## Properties
**Space group**: I4/mmm
**Crystal system**: tetragonal

```
Th2CN4
1.0
-0.9967 3.5702 1.2001
-3.1778 -0.1306 -2.2505
-1.9063 -4.7900 6.3424
N Th C
4 2 1
Direct
0.7500 0.2500 0.5000
0.9190 0.9190 0.8380
0.2500 0.7500 0.5000
0.0810 0.0810 0.1620
0.6701 0.6701 0.3403
0.3299 0.3299 0.6597
0.0000 0.0000 0.0000
```

---

[3]
Density functional theory data (PBE-GGA) for crystalline Th8Tl4C3N at its relaxed geometry.

## Properties
**Space group**: C2/m
**Crystal system**: monoclinic

```
Th8Tl4C3N
1.0
-5.1411 -1.8643 -5.1039
-4.6660 -4.9322 6.5016
0.9929 7.1676 1.8634
Th C Tl N
8 3 4 1
Direct
0.2233 0.6714 0.9485
0.7767 0.3286 0.5534
0.2748 0.3286 0.0515
0.7767 0.3286 0.0515
0.7243 0.6725 0.4487
0.2233 0.6714 0.4466
0.2757 0.3275 0.5513
0.7252 0.6714 0.9485
0.5000 0.5000 0.0000
0.0000 0.5000 0.5000
0.5000 0.5000 0.5000
0.0000 0.0000 0.0000
0.0000 0.0000 0.5000
0.5000 0.0000 0.0000
0.5000 0.0000 0.5000
0.0000 0.5000 0.0000
```

---

no.,E_tot (eV for the cell shown),spin magnetization (μB per cell)
1,-123.84,0.000
2,-65.36,0.000
3,-111.68,0.000